Run A
SrLiTeHOsBr | GGA-PBE | relaxed

abc: 4.345 4.418 8.637
angles: 80.16 89.84 60.54
Sites, in units of the cell vectors:
Sr: 0.000 0.000 0.000
Li: 0.259 0.475 0.447
Te: 0.601 0.802 0.706
H: 0.326 0.347 0.970
Os: 0.283 0.437 0.771
Br: 0.733 0.530 0.260

## Properties
M_tot = 0.000 μB per formula unit
Crystal system = triclinic
Symmetry = No. 1
Volume = 141.6 Å³ per cell

***

Run B
SrLiTeHOsBr | GGA-PBE | relaxed

abc: 6.932 6.932 4.503
angles: 94.28 94.28 38.92
Sites, in units of the cell vectors:
Sr: 0.000 0.000 0.000
Li: 0.792 0.792 0.497
Te: 0.295 0.295 0.013
H: 0.489 0.489 0.850
Os: 0.407 0.407 0.556
Br: 0.593 0.593 0.379

## Properties
M_tot = 0.744 μB per formula unit
Crystal system = monoclinic
Symmetry = No. 8
Volume = 135.5 Å³ per cell

***

run A comes first in stability; the runner-up is 151 meV/atom higher.

***

Run A
SrLiTeHOsBr | GGA-PBE | relaxed

abc: 4.136 4.136 8.874
angles: 90.00 90.00 120.00
Sites, in units of the cell vectors:
Sr: 0.000 0.000 0.000
Li: 0.667 0.333 0.575
Te: 0.000 0.000 0.371
H: 0.667 0.333 0.056
Os: 0.667 0.333 0.251
Br: 0.333 0.667 0.749

## Properties
M_tot = 0.000 μB per formula unit
Crystal system = trigonal
Symmetry = No. 156
Volume = 131.5 Å³ per cell

***

Run B
SrLiTeHOsBr | GGA-PBE | relaxed

abc: 4.447 4.447 8.685
angles: 104.92 104.92 59.74
Sites, in units of the cell vectors:
Sr: 0.000 0.000 0.000
Li: 0.155 0.155 0.468
Te: 0.426 0.426 0.279
H: 0.831 0.831 0.493
Os: 0.764 0.764 0.294
Br: 0.261 0.261 0.786

## Properties
M_tot = 0.000 μB per formula unit
Crystal system = monoclinic
Symmetry = No. 8
Volume = 141.7 Å³ per cell

***

Run C
SrLiTeHOsBr | GGA-PBE | relaxed

abc: 3.696 9.442 9.442
angles: 21.53 90.00 90.00
Sites, in units of the cell vectors:
Sr: 0.000 0.000 0.000
Li: 0.500 0.226 0.226
Te: 0.000 0.822 0.822
H: 0.500 0.472 0.472
Os: 0.500 0.380 0.380
Br: 0.500 0.622 0.622

## Properties
M_tot = 0.519 μB per formula unit
Crystal system = orthorhombic
Symmetry = No. 38
Volume = 120.9 Å³ per cell

***

run B comes first in stability; the runner-up is 22 meV/atom higher.

***

Run A
SrLiTeHOsBr | GGA-PBE | relaxed

abc: 8.784 8.784 8.784
angles: 29.22 29.22 29.22
Sites, in units of the cell vectors:
Sr: 0.000 0.000 0.000
Li: 0.152 0.152 0.152
Te: 0.769 0.769 0.769
H: 0.354 0.354 0.354
Os: 0.419 0.419 0.419
Br: 0.253 0.253 0.253

## Properties
M_tot = 0.000 μB per formula unit
Crystal system = trigonal
Symmetry = No. 160
Volume = 142.9 Å³ per cell

***

Run B
SrLiTeHOsBr | GGA-PBE | relaxed

abc: 4.463 4.463 8.531
angles: 105.23 105.23 59.75
Sites, in units of the cell vectors:
Sr: 0.000 0.000 0.000
Li: 0.845 0.845 0.540
Te: 0.562 0.562 0.691
H: 0.314 0.314 0.944
Os: 0.247 0.247 0.741
Br: 0.742 0.742 0.224

## Properties
M_tot = 0.000 μB per formula unit
Crystal system = monoclinic
Symmetry = No. 8
Volume = 139.9 Å³ per cell

***

Run C
SrLiTeHOsBr | GGA-PBE | relaxed

abc: 4.849 5.588 6.085
angles: 85.68 89.75 65.73
Sites, in units of the cell vectors:
Sr: 0.000 0.000 0.000
Li: 0.287 0.331 0.429
Te: 0.623 0.785 0.529
H: 0.897 0.216 0.400
Os: 0.064 0.911 0.503
Br: 0.319 0.379 0.997

## Properties
M_tot = 0.000 μB per formula unit
Crystal system = triclinic
Symmetry = No. 1
Volume = 149.8 Å³ per cell

***

run B comes first in stability; the runner-up is 42 meV/atom higher.

***

Run A
SrLiTeHOsBr | GGA-PBE | relaxed

abc: 4.543 4.043 7.391
angles: 90.00 106.72 90.00
Sites, in units of the cell vectors:
Sr: 0.000 0.000 0.000
Li: 0.740 0.500 0.556
Te: 0.225 0.000 0.576
H: 0.786 0.500 0.826
Os: 0.405 0.500 0.802
Br: 0.563 0.500 0.176

## Properties
M_tot = 0.000 μB per formula unit
Crystal system = monoclinic
Symmetry = No. 6
Volume = 130.0 Å³ per cell

***

Run B
SrLiTeHOsBr | GGA-PBE | relaxed

abc: 4.101 4.103 9.571
angles: 89.95 77.65 60.03
Sites, in units of the cell vectors:
Sr: 0.000 0.000 0.000
Li: 0.071 0.464 0.396
Te: 0.591 0.203 0.617
H: 0.320 0.340 0.019
Os: 0.859 0.569 0.715
Br: 0.490 0.754 0.267

## Properties
M_tot = 0.000 μB per formula unit
Crystal system = triclinic
Symmetry = No. 1
Volume = 135.2 Å³ per cell

***

Run C
SrLiTeHOsBr | GGA-PBE | relaxed

abc: 4.388 4.395 8.667
angles: 76.05 76.12 67.11
Sites, in units of the cell vectors:
Sr: 0.000 0.000 0.000
Li: 0.171 0.162 0.520
Te: 0.422 0.428 0.710
H: 0.008 0.015 0.728
Os: 0.787 0.793 0.726
Br: 0.287 0.288 0.215

## Properties
M_tot = 0.000 μB per formula unit
Crystal system = triclinic
Symmetry = No. 1
Volume = 147.4 Å³ per cell

***

run C comes first in stability; the runner-up is 69 meV/atom higher.